No. 1
The following is a PBE calculation of a relaxed In2Ag5Au12 crystal, from Alexandria via LeMat-Bulk.

```
In2Ag5Au12
1.0
7.989 -4.802 0.000
7.989 4.802 0.000
-1.314 0.000 4.719
In Ag Au
2 5 12
Cartesian
7.989 2.487 0.000
7.989 -2.487 0.000
2.171 0.000 3.735
4.335 0.000 1.730
7.332 0.000 2.360
10.328 0.000 2.989
12.492 0.000 0.985
3.723 2.415 3.771
1.299 0.000 0.991
5.905 2.480 1.906
8.758 2.480 2.814
5.179 0.000 4.421
10.941 2.415 0.948
3.723 -2.415 3.771
9.484 0.000 0.298
5.905 -2.480 1.906
8.758 -2.480 2.814
13.364 0.000 3.729
10.941 -2.415 0.948
```

Output
spin magnetization	0.000	μB/f.u.

No. 2
The following is a PBE calculation of a relaxed In2AgAu crystal, from Alexandria via LeMat-Bulk.

```
In2AgAu
1.0
1.725 0.996 8.576
-1.725 0.996 8.576
0.000 -1.992 8.576
In Ag Au
2 1 1
Cartesian
0.000 0.000 6.391
0.000 0.000 19.338
0.000 0.000 0.000
0.000 0.000 12.865
```

Output
spin magnetization	0.000	μB/f.u.

No. 3
The following is a PBE calculation of a relaxed InAg4Au crystal, from Alexandria via LeMat-Bulk.

```
InAg4Au
1.0
2.105 -6.206 0.000
2.105 6.206 0.000
0.000 0.000 4.274
In Ag Au
1 4 1
Cartesian
0.000 0.000 0.000
2.105 4.102 2.137
2.105 2.087 0.000
2.105 -2.087 0.000
2.105 -4.102 2.137
2.105 0.000 2.137
```

Output
excess energy over the best structure of this formula in the dataset	0.0053	eV per atom
spin magnetization	0.000	μB/f.u.

Number 1: calculated formation energy -0.7 eV per formula unit. Number 2: calculated formation energy -0.1 eV per formula unit. Number 3: calculated formation energy -0.3 eV per formula unit.